(one)
A geometry-optimized La4YTm5 structure. Source: Alexandria, functional GGA-PBE.

Lattice parameters (Å, degrees): 10.7809 10.7809 5.9635 90.00 90.00 90.00
Last column: nearest neighbours and their distance in Å.
Space group I4mm (No. 107)
Inequivalent atoms, fractional coordinates:
La 0.0000 0.3226 0.0000 (multiplicity 8)  3 Tm 3.36-3.74
Y 0.0000 0.0000 0.7471 (multiplicity 2)  2 Tm 2.88-3.09
Tm 0.0000 0.0000 0.2293 (multiplicity 2)  2 Y 2.88-3.09
Tm 0.1888 0.1888 0.4841 (multiplicity 8)  3 Tm 3.25-3.52, 1 Y 3.28, 2 La 3.36

---

(two)
A geometry-optimized La4YTm5 structure. Source: Alexandria, functional GGA-PBE.

Lattice parameters (Å, degrees): 17.0749 3.5185 11.4654 90.00 90.29 90.00
Last column: nearest neighbours and their distance in Å.
Space group C2/m (No. 12)
Inequivalent atoms, fractional coordinates:
La 0.0348 0.0000 0.2481 (multiplicity 4)  4 Tm 3.32-3.39, 2 Y 3.44, 2 La 3.52
La 0.1646 0.5000 0.7497 (multiplicity 4)  4 La 3.52-3.83, 6 Tm 3.62-3.84
Y 0.0000 0.5000 0.5000 (multiplicity 2)  4 La 3.44, 4 Tm 3.49, 2 Y 3.52
Tm 0.0000 0.5000 0.0000 (multiplicity 2)  4 La 3.39, 6 Tm 3.46-3.52
Tm 0.1720 0.0000 0.0439 (multiplicity 4)  2 La 3.32-3.65, 6 Tm 3.35-3.52
Tm 0.1733 0.0000 0.4528 (multiplicity 4)  2 La 3.32-3.62, 4 Tm 3.33-3.52, 2 Y 3.49

---

(two) takes first place; second place is 36 meV/atom up.

---

(one)
A geometry-optimized La4Y2Tm5 structure. Source: Alexandria, functional GGA-PBE.

Lattice parameters (Å, degrees): 24.0397 3.4711 8.8180 90.00 96.96 90.00
Last column: nearest neighbours and their distance in Å.
Space group C2/m (No. 12)
Inequivalent atoms, fractional coordinates:
La 0.0455 0.0000 0.3599 (multiplicity 4)  2 Y 3.25-3.41, 1 Tm 3.38, 3 La 3.47-3.49
La 0.1807 0.5000 0.4662 (multiplicity 4)  6 La 3.47-3.74, 5 Tm 3.55-3.73, 2 Y 3.89
Y 0.0892 0.0000 0.7428 (multiplicity 4)  2 La 3.25-3.41, 2 Tm 3.33-3.43, 2 Y 3.47
Tm 0.0000 0.5000 0.0000 (multiplicity 2)  6 Tm 3.47-3.84, 4 La 3.67, 4 Y 3.73
Tm 0.1415 0.0000 0.1101 (multiplicity 4)  1 Y 3.33, 3 La 3.38-3.61, 5 Tm 3.47-3.48
Tm 0.2323 0.0000 0.8313 (multiplicity 4)  1 Y 3.43, 7 Tm 3.46-3.48, 3 La 3.55-3.73

---

(two)
A geometry-optimized La4Y2Tm5 structure. Source: Alexandria, functional GGA-PBE.

Lattice parameters (Å, degrees): 19.1956 5.6911 6.6806 90.00 90.75 90.00
Last column: nearest neighbours and their distance in Å.
Space group C2/m (No. 12)
Inequivalent atoms, fractional coordinates:
La 0.0219 0.0000 0.2910 (multiplicity 4)  1 La 2.93, 1 Tm 3.12
La 0.1925 0.5000 0.0732 (multiplicity 4)  7 Tm 3.34-3.72, 1 Y 3.73, 2 La 3.74
Y 0.0995 0.5000 0.5602 (multiplicity 4)  6 Tm 3.52-3.71, 6 La 3.67-3.84, 1 Y 3.89
Tm 0.0000 0.5000 0.0000 (multiplicity 2)  6 La 3.47-3.72, 2 Y 3.52, 4 Tm 3.88
Tm 0.1301 0.0000 0.8784 (multiplicity 4)  5 La 3.12-3.47
Tm 0.2101 0.0000 0.4038 (multiplicity 4)  4 Tm 3.47-3.81, 4 La 3.62-3.71, 3 Y 3.66-3.71

---

(two) takes first place; second place is 56 meV/atom up.

---

(one)
A geometry-optimized La2YTm3 structure. Source: Alexandria, functional GGA-PBE.

Lattice parameters (Å, degrees): 6.6861 6.6949 9.0113 97.55 97.67 95.37
Last column: nearest neighbours and their distance in Å.
Space group P-1 (No. 2)
Inequivalent atoms, fractional coordinates:
La 0.1246 0.1266 0.3747 (multiplicity 2)  2 La 3.47-3.50, 9 Tm 3.70-3.76, 3 Y 3.73-3.74
La 0.3736 0.3757 0.1257 (multiplicity 2)  2 La 3.47-3.50, 9 Tm 3.70-3.75, 3 Y 3.72-3.74
Y 0.4183 0.0848 0.7506 (multiplicity 2)  5 Tm 3.31-3.50
Tm 0.0806 0.4160 0.7496 (multiplicity 2)  4 Tm 3.29-3.47, 1 Y 3.31
Tm 0.1637 0.8318 0.9983 (multiplicity 2)  3 Tm 3.29-3.47, 2 Y 3.31-3.50
Tm 0.3331 0.6651 0.5020 (multiplicity 2)  3 Tm 3.29-3.47, 2 Y 3.31-3.50

---

(two)
A geometry-optimized La2YTm3 structure. Source: Alexandria, functional GGA-PBE.

Lattice parameters (Å, degrees): 17.8050 3.4845 14.3072 90.00 116.77 90.00
Last column: nearest neighbours and their distance in Å.
Space group C2/m (No. 12)
Inequivalent atoms, fractional coordinates:
La 0.1538 0.0000 0.4688 (multiplicity 4)  5 Tm 3.43-3.82, 2 Y 3.43-3.55, 4 La 3.48-3.58
La 0.1858 0.5000 0.8788 (multiplicity 4)  5 Tm 3.33-3.63, 4 La 3.48-3.63, 2 Y 3.55
Y 0.0619 0.0000 0.6431 (multiplicity 4)  4 La 3.43-3.55, 3 Y 3.48-3.67, 4 Tm 3.73-3.82
Tm 0.0392 0.5000 0.2042 (multiplicity 4)  8 Tm 3.48-3.61, 3 La 3.63-3.82, 2 Y 3.82
Tm 0.0982 0.0000 0.0266 (multiplicity 4)  8 Tm 3.23-3.61, 3 La 3.45-3.59
Tm 0.2355 0.0000 0.2929 (multiplicity 4)  4 La 3.33-3.53, 5 Tm 3.48-3.59, 2 Y 3.73

---

(one) takes first place; second place is 48 meV/atom up.